Entry 1:
## LiTa2CrPt (GGA-PBE)

Data for a relaxed LiTa2CrPt crystal.

Output
Density in g/cm³: 10.41
VASP energy in eV per atom: -7.448
Size of the total moment in μB/atom: 0.000

Lattice parameters (Å, degrees): 4.5525 4.5525 4.7408 90.00 90.00 90.00
Closest atoms and distances in Å follow each position.
Element x y z (fractional)
Li: 0.0000 0.0000 0.0000  4 Pt 3.22, 8 Ta 3.29
Ta: 0.0000 0.5000 0.5000  2 Cr 2.28
Ta: 0.5000 0.0000 0.5000  2 Cr 2.28
Cr: 0.5000 0.5000 0.5000  4 Ta 2.28, 2 Pt 2.37
Pt: 0.5000 0.5000 0.0000  2 Cr 2.37

***

Entry 2:
## LiVCr2Pt (GGA-PBE)

Data for a relaxed LiVCr2Pt crystal.

Output
Density in g/cm³: 8.01
VASP energy in eV per atom: -6.448
Size of the total moment in μB/atom: 0.944

Lattice parameters (Å, degrees): 4.2535 4.2535 4.0918 90.00 90.00 90.00
Closest atoms and distances in Å follow each position.
Element x y z (fractional)
Li: 0.0000 0.0000 0.0000  2 Pt 2.05, 4 Cr 2.13
V: 0.5000 0.5000 0.5000  8 Cr 2.95, 4 Pt 3.01
Cr: 0.0000 0.5000 0.0000  2 Li 2.13
Cr: 0.5000 0.0000 0.0000  2 Li 2.13
Pt: 0.0000 0.0000 0.5000  2 Li 2.05

***

Entry 3:
## LiV2CrPt (GGA-PBE)

Data for a relaxed LiV2CrPt crystal.

Output
Density in g/cm³: 6.48
VASP energy in eV per atom: -5.897
Size of the total moment in μB/atom: 0.371

Lattice parameters (Å, degrees): 4.6500 4.6500 4.2162 90.00 90.00 90.00
Closest atoms and distances in Å follow each position.
Element x y z (fractional)
Li: 0.0000 0.0000 0.0000  2 Pt 2.11
V: 0.0000 0.5000 0.5000  2 Pt 2.33
V: 0.5000 0.0000 0.5000  2 Pt 2.33
Cr: 0.5000 0.5000 0.0000  8 V 3.14, 4 Li 3.29
Pt: 0.0000 0.0000 0.5000  2 Li 2.11, 4 V 2.33

***

Entry 4:
## LiPuCrRu (GGA-PBE)

Data for a relaxed LiPuCrRu crystal.

Output
Density in g/cm³: 10.95
VASP energy in eV per atom: -8.591
Size of the total moment in μB/atom: 0.452

Lattice parameters (Å, degrees): 4.4253 4.4253 4.4253 60.00 60.00 60.00
Closest atoms and distances in Å follow each position.
Element x y z (fractional)
Li: 0.0000 0.0000 0.0000  4 Cr 2.71, 4 Ru 2.71
Pu: 0.5000 0.5000 0.5000  4 Cr 2.71, 4 Ru 2.71
Cr: 0.7500 0.7500 0.7500  4 Li 2.71, 4 Pu 2.71
Ru: 0.2500 0.2500 0.2500  4 Li 2.71, 4 Pu 2.71

***

Entry 5:
## Li3Pu2CrS6 (GGA-PBE)

Data for a relaxed Li3Pu2CrS6 crystal.

Output
Formation energy without anion corrections in eV per atom: -1.3354
Density in g/cm³: 5.45
VASP energy in eV per atom: -7.068
Size of the total moment in μB/atom: 1.083

Lattice parameters (Å, degrees): 6.5865 6.5865 6.4784 99.59 99.59 120.06
Closest atoms and distances in Å follow each position.
Element x y z (fractional)
Li: 0.0000 0.0000 0.0000  6 S 2.63-2.82
Li: 0.3427 0.6573 0.0000  4 S 2.58-2.62
Li: 0.6573 0.3427 0.0000  4 S 2.58-2.62
Pu: 0.1676 0.8324 0.5000  6 S 2.71-2.72
Pu: 0.8324 0.1676 0.5000  6 S 2.71-2.72
Cr: 0.5000 0.5000 0.5000  6 S 2.51-2.54
S: 0.1086 0.4185 0.2541  1 Cr 2.54, 2 Li 2.62-2.63, 2 Pu 2.72
S: 0.2685 0.2685 0.7400  1 Cr 2.51, 2 Li 2.58, 2 Pu 2.71
S: 0.4185 0.1086 0.2541  1 Cr 2.54, 2 Li 2.62-2.63, 2 Pu 2.72
S: 0.5815 0.8914 0.7459  1 Cr 2.54, 2 Li 2.62-2.63, 2 Pu 2.72
S: 0.7315 0.7315 0.2600  1 Cr 2.51, 2 Li 2.58, 2 Pu 2.71
S: 0.8914 0.5815 0.7459  1 Cr 2.54, 2 Li 2.62-2.63, 2 Pu 2.72

***

Entry 6:
## Li3Pu3CrS8 (GGA-PBE)

Data for a relaxed Li3Pu3CrS8 crystal.

Output
Formation energy without anion corrections in eV per atom: -1.3684
Density in g/cm³: 5.62
VASP energy in eV per atom: -7.460
Size of the total moment in μB/atom: 1.133

Lattice parameters (Å, degrees): 7.5424 7.5424 7.5424 61.48 61.48 61.48
Closest atoms and distances in Å follow each position.
Element x y z (fractional)
Li: 0.0000 0.5000 0.5000  6 S 2.68-2.69
Li: 0.5000 0.0000 0.5000  6 S 2.68-2.69
Li: 0.5000 0.5000 0.0000  6 S 2.68-2.69
Pu: 0.0000 0.0000 0.5000  6 S 2.71-2.72
Pu: 0.0000 0.5000 0.0000  6 S 2.71-2.72
Pu: 0.5000 0.0000 0.0000  6 S 2.71-2.72
Cr: 0.5000 0.5000 0.5000  6 S 2.48
S: 0.2515 0.2515 0.2515  3 Li 2.68, 3 Pu 2.71
S: 0.2702 0.2702 0.7272  1 Cr 2.48, 2 Li 2.69, 2 Pu 2.72
S: 0.2702 0.7272 0.2702  1 Cr 2.48, 2 Li 2.69, 2 Pu 2.72
S: 0.2728 0.7298 0.7298  1 Cr 2.48, 2 Li 2.69, 2 Pu 2.72
S: 0.7272 0.2702 0.2702  1 Cr 2.48, 2 Li 2.69, 2 Pu 2.72
S: 0.7298 0.2728 0.7298  1 Cr 2.48, 2 Li 2.69, 2 Pu 2.72
S: 0.7298 0.7298 0.2728  1 Cr 2.48, 2 Li 2.69, 2 Pu 2.72
S: 0.7485 0.7485 0.7485  3 Li 2.68, 3 Pu 2.71

***

Entry 7:
## Li3PuCr2S6 (GGA-PBE)

Data for a relaxed Li3PuCr2S6 crystal.

Output
Formation energy without anion corrections in eV per atom: -1.1574
Density in g/cm³: 4.47
VASP energy in eV per atom: -6.498
Size of the total moment in μB/atom: 0.917

Lattice parameters (Å, degrees): 6.2852 6.2852 6.4505 99.36 99.36 120.00
Closest atoms and distances in Å follow each position.
Element x y z (fractional)
Li: 0.0000 0.0000 0.0000  6 S 2.50-2.73
Li: 0.3356 0.6644 0.0000  6 S 2.52-2.74
Li: 0.6644 0.3356 0.0000  6 S 2.52-2.74
Pu: 0.5000 0.5000 0.5000  6 S 2.69-2.70
Cr: 0.1671 0.8329 0.5000  6 S 2.46-2.47
Cr: 0.8329 0.1671 0.5000  6 S 2.46-2.47
S: 0.0588 0.4224 0.2669  2 Cr 2.46, 3 Li 2.52-2.74, 1 Pu 2.69
S: 0.2155 0.2155 0.7361  2 Cr 2.47, 3 Li 2.50-2.71, 1 Pu 2.70
S: 0.4224 0.0588 0.2669  2 Cr 2.46, 3 Li 2.52-2.74, 1 Pu 2.69
S: 0.5776 0.9412 0.7331  2 Cr 2.46, 3 Li 2.52-2.74, 1 Pu 2.69
S: 0.7845 0.7845 0.2639  2 Cr 2.47, 3 Li 2.50-2.71, 1 Pu 2.70
S: 0.9412 0.5776 0.7331  2 Cr 2.46, 3 Li 2.52-2.74, 1 Pu 2.69

***

Entry 8:
## Rb3LiCr (GGA-PBE)

Data for a relaxed Rb3LiCr crystal.

Output
Density in g/cm³: 1.47
VASP energy in eV per atom: -2.173
Size of the total moment in μB/atom: 1.173
Energy above the most stable polymorph in this dataset in meV/atom: 0.0

Lattice parameters (Å, degrees): 7.0922 7.0922 7.0922 90.00 90.00 90.00
Closest atoms and distances in Å follow each position.
Element x y z (fractional)
Rb: 0.0000 0.0000 0.5000  2 Cr 3.55
Rb: 0.0000 0.5000 0.0000  2 Cr 3.55
Rb: 0.5000 0.0000 0.0000  2 Cr 3.55
Li: 0.5000 0.5000 0.5000  12 Rb 5.01
Cr: 0.0000 0.0000 0.0000  6 Rb 3.55